Crystalline TcCI2N at its relaxed geometry. Source: the Alexandria database, functional PBE.

Properties
Offset from the most stable computed form   11.35 kcal/mol of atoms
Density of states at the Fermi level   0.750 states/eV/atom
Spin magnetization   1.3 μB per formula unit
Energy relative to the elements, uncorrected   2110 meV per atom
V   23.25 A^3/atom

abc: 5.4160 5.4160 3.9629
angles: 90.00 90.00 90.00
Fractional coordinates of all 5 atoms:
Tc 0.0000 0.0000 0.0000
C 0.0000 0.0000 0.5000
I 0.0000 0.5000 0.5000
I 0.5000 0.0000 0.5000
N 0.5000 0.5000 0.0000